## w
Below is a geometry-optimized SiBiS2N structure, with properties calculated at the PBE level.

```
data_SiBiS2N
_chemical_formula_sum 'Si1 Bi1 S2 N1'
_cell_length_a 4.940
_cell_length_b 4.940
_cell_length_c 3.407
_cell_angle_alpha 90.00
_cell_angle_beta 90.00
_cell_angle_gamma 90.00
_symmetry_space_group_name_H-M 'P 1'
_symmetry_Int_Tables_number 1
loop_
_symmetry_equiv_pos_as_xyz
'x,y,z'
loop_
_atom_site_label
_atom_site_type_symbol
_atom_site_fract_x
_atom_site_fract_y
_atom_site_fract_z
S1 S 0.000 0.500 0.000
S2 S 0.500 0.000 0.000
Si1 Si 0.000 0.000 0.000
Bi1 Bi 0.500 0.500 0.500
N1 N 0.000 0.000 0.500
```

---

## x
Below is a geometry-optimized SiBiS2N structure, with properties calculated at the PBE level.

```
data_SiBiS2N
_chemical_formula_sum 'Si1 Bi1 S2 N1'
_cell_length_a 5.237
_cell_length_b 5.237
_cell_length_c 4.163
_cell_angle_alpha 90.00
_cell_angle_beta 90.00
_cell_angle_gamma 90.00
_symmetry_space_group_name_H-M 'P 1'
_symmetry_Int_Tables_number 1
loop_
_symmetry_equiv_pos_as_xyz
'x,y,z'
loop_
_atom_site_label
_atom_site_type_symbol
_atom_site_fract_x
_atom_site_fract_y
_atom_site_fract_z
S1 S 0.000 0.500 0.000
S2 S 0.500 0.000 0.000
Si1 Si 0.500 0.500 0.500
Bi1 Bi 0.000 0.000 0.000
N1 N 0.000 0.000 0.500
```

---

Stability summary: most stable w, least stable x.

---

## w
Below is a geometry-optimized TaBiS2N structure, with properties calculated at the PBE level.

```
data_TaBiS2N
_chemical_formula_sum 'Ta1 Bi1 S2 N1'
_cell_length_a 4.978
_cell_length_b 4.978
_cell_length_c 3.930
_cell_angle_alpha 90.00
_cell_angle_beta 90.00
_cell_angle_gamma 90.00
_symmetry_space_group_name_H-M 'P 1'
_symmetry_Int_Tables_number 1
loop_
_symmetry_equiv_pos_as_xyz
'x,y,z'
loop_
_atom_site_label
_atom_site_type_symbol
_atom_site_fract_x
_atom_site_fract_y
_atom_site_fract_z
S1 S 0.000 0.500 0.000
S2 S 0.500 0.000 0.000
N1 N 0.000 0.000 0.500
Bi1 Bi 0.500 0.500 0.500
Ta1 Ta 0.000 0.000 0.000
```

---

## x
Below is a geometry-optimized TaBiS2N structure, with properties calculated at the PBE level.

```
data_TaBiS2N
_chemical_formula_sum 'Ta1 Bi1 S2 N1'
_cell_length_a 5.151
_cell_length_b 5.151
_cell_length_c 4.140
_cell_angle_alpha 90.00
_cell_angle_beta 90.00
_cell_angle_gamma 90.00
_symmetry_space_group_name_H-M 'P 1'
_symmetry_Int_Tables_number 1
loop_
_symmetry_equiv_pos_as_xyz
'x,y,z'
loop_
_atom_site_label
_atom_site_type_symbol
_atom_site_fract_x
_atom_site_fract_y
_atom_site_fract_z
S1 S 0.000 0.500 0.000
S2 S 0.500 0.000 0.000
N1 N 0.000 0.000 0.500
Bi1 Bi 0.000 0.000 0.000
Ta1 Ta 0.500 0.500 0.500
```

---

Stability summary: most stable w, least stable x.

---

## w
Below is a geometry-optimized TiBiS2N structure, with properties calculated at the PBE level.

```
data_TiBiS2N
_chemical_formula_sum 'Ti1 Bi1 S2 N1'
_cell_length_a 5.169
_cell_length_b 5.169
_cell_length_c 4.185
_cell_angle_alpha 90.00
_cell_angle_beta 90.00
_cell_angle_gamma 90.00
_symmetry_space_group_name_H-M 'P 1'
_symmetry_Int_Tables_number 1
loop_
_symmetry_equiv_pos_as_xyz
'x,y,z'
loop_
_atom_site_label
_atom_site_type_symbol
_atom_site_fract_x
_atom_site_fract_y
_atom_site_fract_z
S1 S 0.000 0.500 0.000
S2 S 0.500 0.000 0.000
N1 N 0.000 0.000 0.500
Bi1 Bi 0.000 0.000 0.000
Ti1 Ti 0.500 0.500 0.500
```

---

## x
Below is a geometry-optimized TiBiS2N structure, with properties calculated at the PBE level.

```
data_TiBiS2N
_chemical_formula_sum 'Ti1 Bi1 S2 N1'
_cell_length_a 4.951
_cell_length_b 4.951
_cell_length_c 3.760
_cell_angle_alpha 90.00
_cell_angle_beta 90.00
_cell_angle_gamma 90.00
_symmetry_space_group_name_H-M 'P 1'
_symmetry_Int_Tables_number 1
loop_
_symmetry_equiv_pos_as_xyz
'x,y,z'
loop_
_atom_site_label
_atom_site_type_symbol
_atom_site_fract_x
_atom_site_fract_y
_atom_site_fract_z
S1 S 0.000 0.500 0.000
S2 S 0.500 0.000 0.000
N1 N 0.000 0.000 0.500
Bi1 Bi 0.500 0.500 0.500
Ti1 Ti 0.000 0.000 0.000
```

---

Stability summary: most stable x, least stable w.

---

## w
Below is a geometry-optimized TiBiSN2 structure, with properties calculated at the PBE level.

```
data_TiBiSN2
_chemical_formula_sum 'Ti1 Bi1 S1 N2'
_cell_length_a 3.993
_cell_length_b 3.993
_cell_length_c 4.944
_cell_angle_alpha 90.00
_cell_angle_beta 90.00
_cell_angle_gamma 90.00
_symmetry_space_group_name_H-M 'P 1'
_symmetry_Int_Tables_number 1
loop_
_symmetry_equiv_pos_as_xyz
'x,y,z'
loop_
_atom_site_label
_atom_site_type_symbol
_atom_site_fract_x
_atom_site_fract_y
_atom_site_fract_z
S1 S 0.000 0.000 0.500
N1 N 0.000 0.500 0.000
N2 N 0.500 0.000 0.000
Bi1 Bi 0.500 0.500 0.500
Ti1 Ti 0.000 0.000 0.000
```

---

## x
Below is a geometry-optimized TiBiSN2 structure, with properties calculated at the PBE level.

```
data_TiBiSN2
_chemical_formula_sum 'Ti1 Bi1 S1 N2'
_cell_length_a 4.231
_cell_length_b 4.231
_cell_length_c 5.288
_cell_angle_alpha 90.00
_cell_angle_beta 90.00
_cell_angle_gamma 90.00
_symmetry_space_group_name_H-M 'P 1'
_symmetry_Int_Tables_number 1
loop_
_symmetry_equiv_pos_as_xyz
'x,y,z'
loop_
_atom_site_label
_atom_site_type_symbol
_atom_site_fract_x
_atom_site_fract_y
_atom_site_fract_z
S1 S 0.000 0.000 0.500
N1 N 0.000 0.500 0.000
N2 N 0.500 0.000 0.000
Bi1 Bi 0.000 0.000 0.000
Ti1 Ti 0.500 0.500 0.500
```

---

Stability summary: most stable w, least stable x.

---

## w
Below is a geometry-optimized TlBiSN2 structure, with properties calculated at the PBE level.

```
data_TlBiSN2
_chemical_formula_sum 'Tl1 Bi1 S1 N2'
_cell_length_a 4.303
_cell_length_b 4.303
_cell_length_c 5.415
_cell_angle_alpha 90.00
_cell_angle_beta 90.00
_cell_angle_gamma 90.00
_symmetry_space_group_name_H-M 'P 1'
_symmetry_Int_Tables_number 1
loop_
_symmetry_equiv_pos_as_xyz
'x,y,z'
loop_
_atom_site_label
_atom_site_type_symbol
_atom_site_fract_x
_atom_site_fract_y
_atom_site_fract_z
S1 S 0.000 0.000 0.500
Tl1 Tl 0.000 0.000 0.000
Bi1 Bi 0.500 0.500 0.500
N1 N 0.000 0.500 0.000
N2 N 0.500 0.000 0.000
```

---

## x
Below is a geometry-optimized TlBiSN2 structure, with properties calculated at the PBE level.

```
data_TlBiSN2
_chemical_formula_sum 'Tl1 Bi1 S1 N2'
_cell_length_a 4.508
_cell_length_b 4.508
_cell_length_c 5.449
_cell_angle_alpha 90.00
_cell_angle_beta 90.00
_cell_angle_gamma 90.00
_symmetry_space_group_name_H-M 'P 1'
_symmetry_Int_Tables_number 1
loop_
_symmetry_equiv_pos_as_xyz
'x,y,z'
loop_
_atom_site_label
_atom_site_type_symbol
_atom_site_fract_x
_atom_site_fract_y
_atom_site_fract_z
S1 S 0.000 0.000 0.500
Tl1 Tl 0.500 0.500 0.500
Bi1 Bi 0.000 0.000 0.000
N1 N 0.000 0.500 0.000
N2 N 0.500 0.000 0.000
```

---

Stability summary: most stable x, least stable w.

---

## w
Below is a geometry-optimized VBiS2N structure, with properties calculated at the PBE level.

```
data_VBiS2N
_chemical_formula_sum 'V1 Bi1 S2 N1'
_cell_length_a 5.187
_cell_length_b 5.187
_cell_length_c 4.188
_cell_angle_alpha 90.00
_cell_angle_beta 90.00
_cell_angle_gamma 90.00
_symmetry_space_group_name_H-M 'P 1'
_symmetry_Int_Tables_number 1
loop_
_symmetry_equiv_pos_as_xyz
'x,y,z'
loop_
_atom_site_label
_atom_site_type_symbol
_atom_site_fract_x
_atom_site_fract_y
_atom_site_fract_z
S1 S 0.000 0.500 0.000
S2 S 0.500 0.000 0.000
N1 N 0.000 0.000 0.500
Bi1 Bi 0.000 0.000 0.000
V1 V 0.500 0.500 0.500
```

---

## x
Below is a geometry-optimized VBiS2N structure, with properties calculated at the PBE level.

```
data_VBiS2N
_chemical_formula_sum 'V1 Bi1 S2 N1'
_cell_length_a 4.855
_cell_length_b 4.855
_cell_length_c 3.672
_cell_angle_alpha 90.00
_cell_angle_beta 90.00
_cell_angle_gamma 90.00
_symmetry_space_group_name_H-M 'P 1'
_symmetry_Int_Tables_number 1
loop_
_symmetry_equiv_pos_as_xyz
'x,y,z'
loop_
_atom_site_label
_atom_site_type_symbol
_atom_site_fract_x
_atom_site_fract_y
_atom_site_fract_z
S1 S 0.000 0.500 0.000
S2 S 0.500 0.000 0.000
N1 N 0.000 0.000 0.500
Bi1 Bi 0.500 0.500 0.500
V1 V 0.000 0.000 0.000
```

---

Stability summary: most stable x, least stable w.